[1]
# CdSb2Os | Alexandria via LeMat-Bulk | GGA-PBE | relaxed
# Electronic total energy: -4.85 eV/atom
# SG: No. 123
data_CdSb2Os
_chemical_formula_sum 'Cd1 Sb2 Os1'
_cell_length_a 3.205
_cell_length_b 3.205
_cell_length_c 8.897
_cell_angle_alpha 90.00
_cell_angle_beta 90.00
_cell_angle_gamma 90.00
_symmetry_space_group_name_H-M 'P 1'
_symmetry_Int_Tables_number 1
_symmetry_space_group_name_Hall 'P 1'
loop_
_atom_site_label
_atom_site_fract_x
_atom_site_fract_y
_atom_site_fract_z
Cd1 0.000 0.000 0.000
Sb1 0.500 0.500 0.308
Sb2 0.500 0.500 0.692
Os1 0.000 0.000 0.500

[2]
# Cd2SbOs | Alexandria via LeMat-Bulk | GGA-PBE | relaxed
# Electronic total energy: -3.96 eV/atom
# SG: No. 160
data_Cd2SbOs
_chemical_formula_sum 'Cd2 Sb1 Os1'
_cell_length_a 10.734
_cell_length_b 10.734
_cell_length_c 10.734
_cell_angle_alpha 16.70
_cell_angle_beta 16.70
_cell_angle_gamma 16.70
_symmetry_space_group_name_H-M 'P 1'
_symmetry_Int_Tables_number 1
_symmetry_space_group_name_Hall 'P 1'
loop_
_atom_site_label
_atom_site_fract_x
_atom_site_fract_y
_atom_site_fract_z
Cd1 0.000 0.000 0.000
Cd2 0.243 0.243 0.243
Sb1 0.777 0.777 0.777
Os1 0.505 0.505 0.505

[3]
# Cd2SbOs | Alexandria via LeMat-Bulk | GGA-PBE | relaxed
# Electronic total energy: -4.02 eV/atom
# SG: No. 99
data_Cd2SbOs
_chemical_formula_sum 'Cd2 Sb1 Os1'
_cell_length_a 3.162
_cell_length_b 3.162
_cell_length_c 8.766
_cell_angle_alpha 90.00
_cell_angle_beta 90.00
_cell_angle_gamma 90.00
_symmetry_space_group_name_H-M 'P 1'
_symmetry_Int_Tables_number 1
_symmetry_space_group_name_Hall 'P 1'
loop_
_atom_site_label
_atom_site_fract_x
_atom_site_fract_y
_atom_site_fract_z
Cd1 0.000 0.000 0.000
Cd2 0.500 0.500 0.266
Sb1 0.500 0.500 0.656
Os1 0.000 0.000 0.480

[4]
# Cd2SbOs | Alexandria via LeMat-Bulk | GGA-PBE | relaxed
# Electronic total energy: -3.68 eV/atom
# SG: No. 65
data_Cd2SbOs
_chemical_formula_sum 'Cd2 Sb1 Os1'
_cell_length_a 2.997
_cell_length_b 2.997
_cell_length_c 10.706
_cell_angle_alpha 90.00
_cell_angle_beta 90.00
_cell_angle_gamma 119.33
_symmetry_space_group_name_H-M 'P 1'
_symmetry_Int_Tables_number 1
_symmetry_space_group_name_Hall 'P 1'
loop_
_atom_site_label
_atom_site_fract_x
_atom_site_fract_y
_atom_site_fract_z
Cd1 0.000 0.000 0.222
Cd2 0.000 0.000 0.778
Sb1 0.500 0.500 0.500
Os1 0.500 0.500 0.000

[5]
# CdSb2Os | Alexandria via LeMat-Bulk | GGA-PBE | relaxed
# Electronic total energy: -4.84 eV/atom
# SG: No. 71
data_CdSb2Os
_chemical_formula_sum 'Cd1 Sb2 Os1'
_cell_length_a 6.881
_cell_length_b 6.881
_cell_length_c 6.881
_cell_angle_alpha 153.43
_cell_angle_beta 139.41
_cell_angle_gamma 49.18
_symmetry_space_group_name_H-M 'P 1'
_symmetry_Int_Tables_number 1
_symmetry_space_group_name_Hall 'P 1'
loop_
_atom_site_label
_atom_site_fract_x
_atom_site_fract_y
_atom_site_fract_z
Cd1 0.000 0.000 0.000
Sb1 0.325 0.825 0.500
Sb2 0.675 0.175 0.500
Os1 0.500 0.500 0.000

[6]
# CdSb2Os | Alexandria via LeMat-Bulk | GGA-PBE | relaxed
# Electronic total energy: -4.68 eV/atom
# SG: No. 6
data_CdSb2Os
_chemical_formula_sum 'Cd1 Sb2 Os1'
_cell_length_a 4.404
_cell_length_b 4.265
_cell_length_c 6.229
_cell_angle_alpha 90.00
_cell_angle_beta 90.74
_cell_angle_gamma 90.00
_symmetry_space_group_name_H-M 'P 1'
_symmetry_Int_Tables_number 1
_symmetry_space_group_name_Hall 'P 1'
loop_
_atom_site_label
_atom_site_fract_x
_atom_site_fract_y
_atom_site_fract_z
Cd1 0.000 0.000 0.000
Sb1 0.010 0.000 0.544
Sb2 0.503 0.500 0.101
Os1 0.007 0.500 0.320

Which value of electronic total energy does entry 6 give?
-4.68 eV/atom

Please write out number 3 again, unchanged.
# Cd2SbOs | Alexandria via LeMat-Bulk | GGA-PBE | relaxed
# Electronic total energy: -4.02 eV/atom
# SG: No. 99
data_Cd2SbOs
_chemical_formula_sum 'Cd2 Sb1 Os1'
_cell_length_a 3.162
_cell_length_b 3.162
_cell_length_c 8.766
_cell_angle_alpha 90.00
_cell_angle_beta 90.00
_cell_angle_gamma 90.00
_symmetry_space_group_name_H-M 'P 1'
_symmetry_Int_Tables_number 1
_symmetry_space_group_name_Hall 'P 1'
loop_
_atom_site_label
_atom_site_fract_x
_atom_site_fract_y
_atom_site_fract_z
Cd1 0.000 0.000 0.000
Cd2 0.500 0.500 0.266
Sb1 0.500 0.500 0.656
Os1 0.000 0.000 0.480

The highest electronic total energy belongs to which entry?
number 4